Record 1
VASP calculation (PBE-GGA) on a relaxed K2AcThTe4 crystal.

```
8
Lattice="8.1125 0.0000 0.0000 0.0000 4.6434 0.0000 -2.6567 0.0000 8.3496" Properties=species:S:1:pos:R:3 pbc="T T T"
K 0.0000 0.0000 0.0000
K 4.0562 2.3217 0.0000
Ac -1.3283 2.3217 4.1748
Th 2.7279 0.0000 4.1748
Te 0.1493 0.0000 6.0520
Te 1.4689 2.3217 2.3508
Te 3.9870 2.3217 5.9988
Te 5.3065 0.0000 2.2976
```

Computed properties:
Crystal system: monoclinic
N(E_F): 4.528 states/eV/f.u.
Space-group type: P2/m, No. 10



Record 2
VASP calculation (PBE-GGA) on a relaxed K4Ac3ThTe8 crystal.

```
16
Lattice="4.7587 2.7475 8.2909 -4.7587 2.7475 8.2909 0.0000 -5.4949 8.2909" Properties=species:S:1:pos:R:3 pbc="T T T"
K 0.0000 0.0000 0.0000
K -2.3794 -1.3737 8.2909
K -2.3794 1.3737 16.5817
K 0.0000 2.7475 8.2909
Ac -4.7587 0.0000 12.4363
Ac -2.3794 1.3737 4.1454
Ac 2.3794 1.3737 4.1454
Th 0.0000 0.0000 12.4363
Te 0.0000 0.0000 6.0362
Te -2.2726 -1.3121 14.2622
Te 0.0000 -2.6242 10.6104
Te -2.2726 1.3121 10.6104
Te 2.2726 -1.3121 14.2622
Te 0.0000 2.6242 14.2622
Te 2.2726 1.3121 10.6105
Te 0.0000 0.0000 18.8364
```

Computed properties:
Crystal system: trigonal
N(E_F): 5.697 states/eV/f.u.
Space-group type: R-3m, No. 166



Record 3
VASP calculation (PBE-GGA) on a relaxed K4Ac3TmTe8 crystal.

```
16
Lattice="4.7509 2.7429 8.2784 -4.7509 2.7429 8.2784 0.0000 -5.4858 8.2784" Properties=species:S:1:pos:R:3 pbc="T T T"
K 0.0000 0.0000 0.0000
K -2.3754 -1.3715 8.2784
K -2.3754 1.3715 16.5568
K 0.0000 2.7429 8.2784
Ac -4.7508 0.0000 12.4176
Ac -2.3754 1.3715 4.1392
Ac 2.3754 1.3715 4.1392
Tm 0.0000 0.0000 12.4176
Te 0.0000 0.0000 6.0148
Te -2.2384 -1.2923 14.1979
Te 0.0000 -2.5847 10.6373
Te -2.2384 1.2923 10.6373
Te 2.2384 -1.2923 14.1979
Te 0.0000 2.5847 14.1979
Te 2.2384 1.2923 10.6373
Te 0.0000 0.0000 18.8203
```

Computed properties:
Crystal system: trigonal
N(E_F): 0.000 states/eV/f.u.
Space-group type: R-3m, No. 166



Record 4
VASP calculation (PBE-GGA) on a relaxed K2AcTmTe4 crystal.

```
8
Lattice="8.0790 0.0000 0.0000 0.0000 4.6499 0.0000 -2.6724 0.0000 8.2643" Properties=species:S:1:pos:R:3 pbc="T T T"
K 0.0000 0.0000 0.0000
K 4.0395 2.3249 0.0000
Ac -1.3362 2.3249 4.1322
Tm 2.7033 0.0000 4.1322
Te 0.1754 0.0000 5.9367
Te 1.4991 2.3249 2.4092
Te 3.9076 2.3249 5.8551
Te 5.2313 0.0000 2.3276
```

Computed properties:
Crystal system: monoclinic
N(E_F): 0.000 states/eV/f.u.
Space-group type: P2/m, No. 10



Record 5
VASP calculation (PBE-GGA) on a relaxed K3Ac2TmTe6 crystal.

```
12
Lattice="4.0874 -7.0820 0.0000 4.0874 7.0820 0.0000 -2.7433 0.0000 8.2678" Properties=species:S:1:pos:R:3 pbc="T T T"
K 0.0000 0.0000 0.0000
K 4.0874 2.4190 0.0000
K 4.0874 -2.4190 0.0000
Ac 2.7157 4.7297 4.1339
Ac 2.7157 -4.7297 4.1339
Tm 2.7157 0.0000 4.1339
Te 1.4411 2.2172 2.3457
Te 0.1636 0.0000 5.9250
Te 1.4411 -2.2172 2.3457
Te 3.9904 2.2172 5.9221
Te 5.2679 0.0000 2.3428
Te 3.9904 -2.2172 5.9221
```

Computed properties:
Crystal system: monoclinic
N(E_F): 0.000 states/eV/f.u.
Space-group type: C2/m, No. 12



Record 6
VASP calculation (PBE-GGA) on a relaxed K3AcU2Te6 crystal.

```
12
Lattice="4.0121 -6.9508 0.0000 4.0121 6.9508 0.0000 -2.6847 0.0000 8.2820" Properties=species:S:1:pos:R:3 pbc="T T T"
K 0.0000 0.0000 0.0000
K 4.0121 2.2622 0.0000
K 4.0121 -2.2622 0.0000
Ac 2.6698 0.0000 4.1410
U 2.6698 4.6257 4.1410
U 2.6698 -4.6257 4.1410
Te 1.2682 2.4255 2.3529
Te -0.1345 0.0000 5.9206
Te 1.2682 -2.4255 2.3529
Te 4.0714 2.4255 5.9291
Te 5.4741 0.0000 2.3614
Te 4.0714 -2.4255 5.9291
```

Computed properties:
Crystal system: monoclinic
N(E_F): 15.061 states/eV/f.u.
Space-group type: C2/m, No. 12



Record 7
VASP calculation (PBE-GGA) on a relaxed K3AcY2Te6 crystal.

```
12
Lattice="3.9996 -6.9316 0.0000 3.9996 6.9316 0.0000 -2.6815 0.0000 8.2583" Properties=species:S:1:pos:R:3 pbc="T T T"
K 0.0000 0.0000 0.0000
K 3.9996 2.2521 0.0000
K 3.9996 -2.2521 0.0000
Ac 2.6589 0.0000 4.1292
Y 2.6589 4.6122 4.1292
Y 2.6589 -4.6122 4.1292
Te 1.2542 2.4339 2.3693
Te -0.1534 0.0000 5.8813
Te 1.2542 -2.4339 2.3693
Te 4.0636 2.4339 5.8891
Te 5.4712 0.0000 2.3770
Te 4.0636 -2.4339 5.8891
```

Computed properties:
Crystal system: monoclinic
N(E_F): 0.000 states/eV/f.u.
Space-group type: C2/m, No. 12



Record 8
VASP calculation (PBE-GGA) on a relaxed KAc2Y3Te6 crystal.

```
12
Lattice="10.0707 -2.2351 0.0000 10.0707 2.2351 0.0000 -2.5308 0.0000 8.9957" Properties=species:S:1:pos:R:3 pbc="T T T"
K 0.0000 0.0000 0.0000
Ac 4.9829 0.0000 5.9278
Ac 12.6276 0.0000 3.0679
Y -1.2654 0.0000 4.4979
Y 6.3088 0.0000 1.5695
Y 11.3017 0.0000 7.4263
Te 1.6971 0.0000 5.3732
Te 3.3203 0.0000 0.6226
Te 9.3220 0.0000 2.4043
Te 8.2884 0.0000 6.5914
Te 14.2901 0.0000 8.3732
Te 15.9134 0.0000 3.6225
```

Computed properties:
Crystal system: monoclinic
N(E_F): 4.691 states/eV/f.u.
Space-group type: C2/m, No. 12



What did we get for ΔE_f (raw)? Answer: -1.313 -1.400 -1.451 -1.414 -1.443 -1.045 -1.432 -1.397 eV per atom, in the order shown.
What did we get for uncorrected energy? Answer: -4.60 -4.48 -4.35 -4.33 -4.35 -5.11 -4.70 -5.36 eV/atom, in the order shown.